Record 1
5
Lattice="5.076 0.000 0.000 0.000 5.076 0.000 0.000 0.000 5.076" Properties=species:S:1:pos:R:3 comment="NaMg3P (PBE-GGA, optimized geometry)" dos_at_fermi_per_ev_cell=2.60 formation_energy_ev_per_atom=0.01 spacegroup="Pm-3m (221)" pbc="T T T"
Na 0.000 0.000 0.000
Mg 0.000 2.538 2.538
Mg 2.538 0.000 2.538
Mg 2.538 2.538 0.000
P 2.538 2.538 2.538

---

Record 2
19
Lattice="6.762 3.904 4.179 -6.762 3.904 4.179 0.000 -7.808 4.179" Properties=species:S:1:pos:R:3 comment="Tb6InTe12 (PBE-GGA, optimized geometry)" dos_at_fermi_per_ev_cell=9.47 final_energy_ev_per_atom=-4.638 spacegroup="R-3 (148)" pbc="T T T"
Tb -4.646 -1.228 6.700
Tb -1.260 -4.637 5.837
Tb -3.386 3.409 5.837
Tb 3.386 -3.410 6.700
Tb 1.260 4.637 6.700
Tb 4.646 1.228 5.837
In 0.000 0.000 6.269
Te -4.115 -4.269 6.970
Te -5.755 1.429 5.567
Te -2.013 -1.697 4.805
Te 1.640 -5.698 5.567
Te -0.463 2.592 4.805
Te -2.476 0.895 7.732
Te 2.476 -0.895 4.805
Te 0.463 -2.592 7.732
Te -1.640 5.698 6.970
Te 2.013 1.697 7.732
Te 5.755 -1.429 6.970
Te 4.115 4.269 5.567

---

Record 3
8
Lattice="2.912 0.000 0.000 0.000 5.580 0.000 0.000 0.000 8.107" Properties=species:S:1:pos:R:3 comment="PRh2Se (PBE-GGA, optimized geometry)" dos_at_fermi_per_ev_cell=7.83 final_energy_ev_per_atom=-5.824 spacegroup="Immm (71)" pbc="T T T"
P 0.000 0.000 0.000
P 1.456 2.790 4.053
Rh 0.000 2.790 2.326
Rh 0.000 2.790 5.781
Rh 1.456 0.000 1.727
Rh 1.456 0.000 6.380
Se 0.000 0.000 4.053
Se 1.456 2.790 0.000

---

Record 4
5
Lattice="4.388 0.000 0.000 0.000 4.388 0.000 0.000 0.000 3.758" Properties=species:S:1:pos:R:3 comment="Mg2AgHPd (PBE-GGA, optimized geometry)" polymorph_energy_mev_per_atom=94 dos_at_fermi_per_ev_cell=1.46 spacegroup="P4/mmm (123)" pbc="T T T"
Mg 0.000 2.194 0.000
Mg 2.194 0.000 0.000
Ag 0.000 0.000 1.879
H 0.000 0.000 0.000
Pd 2.194 2.194 1.879

---

Record 5
4
Lattice="4.679 0.000 0.000 0.000 4.679 0.000 0.000 0.000 4.694" Properties=species:S:1:pos:R:3 comment="GdMg3 (PBE-GGA, optimized geometry)" dos_at_fermi_per_ev_cell=4.52 formation_energy_ev_per_atom=-0.06 spacegroup="P4/mmm (123)" pbc="T T T"
Gd 0.000 0.000 0.000
Mg 0.000 2.340 2.347
Mg 2.340 0.000 2.347
Mg 2.340 2.340 0.000

---

Record 6
9
Lattice="5.399 -4.785 0.000 5.399 4.785 0.000 -0.092 0.000 5.703" Properties=species:S:1:pos:R:3 comment="Tl4Hg2BiSb2 (PBE-GGA, optimized geometry)" dos_at_fermi_per_ev_cell=3.21 final_energy_ev_per_atom=-2.420 spacegroup="C2/m (12)" pbc="T T T"
Tl 3.729 2.807 4.481
Tl 6.977 2.807 1.222
Tl 3.729 -2.807 4.481
Tl 6.977 -2.807 1.222
Hg 0.963 0.000 4.164
Hg 9.743 0.000 1.539
Bi 5.399 0.000 0.000
Sb 3.830 0.000 2.801
Sb 6.876 0.000 2.902

---

Record 7
28
Lattice="9.612 0.000 0.000 0.000 9.612 0.000 0.000 0.000 9.612" Properties=species:S:1:pos:R:3 comment="PmNd3Tl3 (PBE-GGA, optimized geometry)" polymorph_energy_mev_per_atom=0 dos_at_fermi_per_ev_cell=34.10 formation_energy_ev_per_atom=-0.29 spacegroup="P2_13 (198)" pbc="T T T"
Pm 0.710 4.096 5.516
Pm 4.096 5.516 0.710
Pm 5.516 0.710 4.096
Pm 8.902 8.902 8.902
Nd 0.698 5.503 8.914
Nd 1.691 1.691 1.691
Nd 1.692 7.919 3.113
Nd 3.113 1.692 7.919
Nd 3.115 7.920 6.497
Nd 4.108 4.108 4.108
Nd 5.503 8.914 0.698
Nd 6.497 3.115 7.920
Nd 6.498 6.498 6.498
Nd 7.919 3.113 1.692
Nd 7.920 6.497 3.115
Nd 8.914 0.698 5.503
Tl 9.610 2.390 8.396
Tl 0.002 7.196 6.022
Tl 1.216 4.804 2.416
Tl 2.390 8.396 9.610
Tl 2.416 1.216 4.804
Tl 3.590 4.808 7.222
Tl 4.804 2.416 1.216
Tl 4.808 7.222 3.590
Tl 6.022 0.002 7.196
Tl 7.196 6.022 0.002
Tl 7.222 3.590 4.808
Tl 8.396 9.610 2.390